Record 1
# PBE YV2FeCo, relaxed
data_YV2FeCo
_chemical_formula_sum 'Y1 V2 Fe1 Co1'
_cell_length_a 4.341
_cell_length_b 4.341
_cell_length_c 4.543
_cell_angle_alpha 90.00
_cell_angle_beta 90.00
_cell_angle_gamma 90.00
_symmetry_space_group_name_H-M 'P 1'
_symmetry_Int_Tables_number 1
_symmetry_space_group_name_Hall 'P 1'
loop_
_atom_site_label
_atom_site_type_symbol
_atom_site_fract_x
_atom_site_fract_y
_atom_site_fract_z
Y1 Y 0.000 0.000 0.000
V1 V 0.000 0.500 0.500
V2 V 0.500 0.000 0.500
Fe1 Fe 0.500 0.500 0.500
Co1 Co 0.500 0.500 0.000
# - Volume: 85.61 Å³ per cell
# - M_tot: 0.82 μB per atom
# - Crystal system: tetragonal
# - E_form: 452.9 meV/atom

***

Record 2
# PBE YV2Fe5Co5, relaxed
data_YV2Fe5Co5
_chemical_formula_sum 'Y1 V2 Fe5 Co5'
_cell_length_a 6.376
_cell_length_b 6.376
_cell_length_c 6.376
_cell_angle_alpha 137.16
_cell_angle_beta 97.90
_cell_angle_gamma 97.42
_symmetry_space_group_name_H-M 'P 1'
_symmetry_Int_Tables_number 1
_symmetry_space_group_name_Hall 'P 1'
loop_
_atom_site_label
_atom_site_type_symbol
_atom_site_fract_x
_atom_site_fract_y
_atom_site_fract_z
Y1 Y 0.000 0.000 0.000
V1 V 0.359 0.359 0.000
V2 V 0.644 0.644 0.000
Fe1 Fe 0.000 0.002 0.499
Fe2 Fe 0.000 0.501 0.998
Fe3 Fe 0.226 0.726 0.500
Fe4 Fe 0.502 0.002 0.002
Fe5 Fe 0.502 0.501 0.501
Co1 Co 0.228 0.502 0.726
Co2 Co 0.359 0.000 0.359
Co3 Co 0.641 0.000 0.641
Co4 Co 0.776 0.502 0.274
Co5 Co 0.778 0.278 0.500
# - Volume: 164.03 Å³ per cell
# - M_tot: 1.05 μB per atom
# - Crystal system: orthorhombic
# - E_form: -85.6 meV/atom

***

Record 3
# PBE FeCo2W, relaxed
data_FeCo2W
_chemical_formula_sum 'Fe1 Co2 W1'
_cell_length_a 4.417
_cell_length_b 4.417
_cell_length_c 4.417
_cell_angle_alpha 131.26
_cell_angle_beta 131.26
_cell_angle_gamma 71.40
_symmetry_space_group_name_H-M 'P 1'
_symmetry_Int_Tables_number 1
_symmetry_space_group_name_Hall 'P 1'
loop_
_atom_site_label
_atom_site_type_symbol
_atom_site_fract_x
_atom_site_fract_y
_atom_site_fract_z
Fe1 Fe 0.000 0.000 0.000
Co1 Co 0.250 0.750 0.500
Co2 Co 0.750 0.250 0.500
W1 W 0.500 0.500 0.000
# - Volume: 47.66 Å³ per cell
# - M_tot: 0.61 μB per atom
# - Crystal system: tetragonal
# - E_form: -8.3 meV/atom

***

Record 4
# PBE Fe2Co2W, relaxed
data_Fe2Co2W
_chemical_formula_sum 'Fe4 Co4 W2'
_cell_length_a 6.703
_cell_length_b 6.703
_cell_length_c 2.569
_cell_angle_alpha 90.00
_cell_angle_beta 90.00
_cell_angle_gamma 90.00
_symmetry_space_group_name_H-M 'P 1'
_symmetry_Int_Tables_number 1
_symmetry_space_group_name_Hall 'P 1'
loop_
_atom_site_label
_atom_site_type_symbol
_atom_site_fract_x
_atom_site_fract_y
_atom_site_fract_z
Fe1 Fe 0.173 0.327 0.000
Fe2 Fe 0.327 0.827 0.000
Fe3 Fe 0.673 0.173 0.000
Fe4 Fe 0.827 0.673 0.000
Co1 Co 0.122 0.622 0.500
Co2 Co 0.378 0.122 0.500
Co3 Co 0.622 0.878 0.500
Co4 Co 0.878 0.378 0.500
W1 W 0.000 0.000 0.500
W2 W 0.500 0.500 0.500
# - Volume: 115.45 Å³ per cell
# - M_tot: 0.00 μB per atom
# - Crystal system: tetragonal
# - E_form: 232.4 meV/atom
# - ΔE to the lowest computed polymorph: 35 meV per atom

***

Record 5
# PBE Fe4CoW, relaxed
data_Fe4CoW
_chemical_formula_sum 'Fe4 Co1 W1'
_cell_length_a 4.637
_cell_length_b 4.637
_cell_length_c 4.637
_cell_angle_alpha 60.00
_cell_angle_beta 60.00
_cell_angle_gamma 60.00
_symmetry_space_group_name_H-M 'P 1'
_symmetry_Int_Tables_number 1
_symmetry_space_group_name_Hall 'P 1'
loop_
_atom_site_label
_atom_site_type_symbol
_atom_site_fract_x
_atom_site_fract_y
_atom_site_fract_z
Fe1 Fe 0.376 0.376 0.376
Fe2 Fe 0.376 0.376 0.873
Fe3 Fe 0.376 0.873 0.376
Fe4 Fe 0.873 0.376 0.376
Co1 Co 0.750 0.750 0.750
W1 W 0.000 0.000 0.000
# - Volume: 70.51 Å³ per cell
# - M_tot: 1.09 μB per atom
# - Crystal system: cubic
# - E_form: 56.1 meV/atom

***

Record 6
# PBE FeCo2W, relaxed
data_FeCo2W
_chemical_formula_sum 'Fe1 Co2 W1'
_cell_length_a 4.468
_cell_length_b 4.466
_cell_length_c 3.612
_cell_angle_alpha 66.19
_cell_angle_beta 66.12
_cell_angle_gamma 47.69
_symmetry_space_group_name_H-M 'P 1'
_symmetry_Int_Tables_number 1
_symmetry_space_group_name_Hall 'P 1'
loop_
_atom_site_label
_atom_site_type_symbol
_atom_site_fract_x
_atom_site_fract_y
_atom_site_fract_z
Fe1 Fe 0.000 0.000 0.000
Co1 Co 0.500 0.500 0.500
Co2 Co 0.750 0.750 0.750
W1 W 0.250 0.250 0.250
# - Volume: 47.81 Å³ per cell
# - M_tot: 0.71 μB per atom
# - Crystal system: orthorhombic
# - E_form: 22.6 meV/atom

***

Record 7
# PBE FeCo2W, relaxed
data_FeCo2W
_chemical_formula_sum 'Fe1 Co2 W1'
_cell_length_a 3.569
_cell_length_b 3.569
_cell_length_c 3.654
_cell_angle_alpha 90.00
_cell_angle_beta 90.00
_cell_angle_gamma 90.00
_symmetry_space_group_name_H-M 'P 1'
_symmetry_Int_Tables_number 1
_symmetry_space_group_name_Hall 'P 1'
loop_
_atom_site_label
_atom_site_type_symbol
_atom_site_fract_x
_atom_site_fract_y
_atom_site_fract_z
Fe1 Fe 0.000 0.000 0.000
Co1 Co 0.000 0.500 0.500
Co2 Co 0.500 0.000 0.500
W1 W 0.500 0.500 0.000
# - Volume: 46.53 Å³ per cell
# - M_tot: 0.00 μB per atom
# - Crystal system: tetragonal
# - E_form: -13.3 meV/atom

***

Record 8
# PBE FeCoW4, relaxed
data_FeCoW4
_chemical_formula_sum 'Fe1 Co1 W4'
_cell_length_a 5.177
_cell_length_b 5.177
_cell_length_c 5.177
_cell_angle_alpha 60.00
_cell_angle_beta 60.00
_cell_angle_gamma 60.00
_symmetry_space_group_name_H-M 'P 1'
_symmetry_Int_Tables_number 1
_symmetry_space_group_name_Hall 'P 1'
loop_
_atom_site_label
_atom_site_type_symbol
_atom_site_fract_x
_atom_site_fract_y
_atom_site_fract_z
Fe1 Fe 0.000 0.000 0.000
Co1 Co 0.750 0.750 0.750
W1 W 0.375 0.375 0.375
W2 W 0.375 0.375 0.876
W3 W 0.375 0.876 0.375
W4 W 0.876 0.375 0.375
# - Volume: 98.13 Å³ per cell
# - M_tot: 0.55 μB per atom
# - Crystal system: cubic
# - E_form: 785.6 meV/atom

***

Record 9
# PBE FeCo9W2, relaxed
data_FeCo9W2
_chemical_formula_sum 'Fe1 Co9 W2'
_cell_length_a 3.590
_cell_length_b 3.590
_cell_length_c 10.693
_cell_angle_alpha 90.00
_cell_angle_beta 90.00
_cell_angle_gamma 90.00
_symmetry_space_group_name_H-M 'P 1'
_symmetry_Int_Tables_number 1
_symmetry_space_group_name_Hall 'P 1'
loop_
_atom_site_label
_atom_site_type_symbol
_atom_site_fract_x
_atom_site_fract_y
_atom_site_fract_z
Fe1 Fe 0.000 0.000 0.000
Co1 Co 0.000 0.500 0.163
Co2 Co 0.000 0.500 0.500
Co3 Co 0.000 0.500 0.837
Co4 Co 0.500 0.000 0.163
Co5 Co 0.500 0.000 0.500
Co6 Co 0.500 0.000 0.837
Co7 Co 0.500 0.500 0.000
Co8 Co 0.500 0.500 0.334
Co9 Co 0.500 0.500 0.666
W1 W 0.000 0.000 0.329
W2 W 0.000 0.000 0.671
# - Volume: 137.80 Å³ per cell
# - M_tot: 0.80 μB per atom
# - Crystal system: tetragonal
# - E_form: -13.7 meV/atom

***

Record 10
# PBE FeCo2W, relaxed
data_FeCo2W
_chemical_formula_sum 'Fe1 Co2 W1'
_cell_length_a 2.612
_cell_length_b 4.092
_cell_length_c 4.455
_cell_angle_alpha 90.00
_cell_angle_beta 90.00
_cell_angle_gamma 90.00
_symmetry_space_group_name_H-M 'P 1'
_symmetry_Int_Tables_number 1
_symmetry_space_group_name_Hall 'P 1'
loop_
_atom_site_label
_atom_site_type_symbol
_atom_site_fract_x
_atom_site_fract_y
_atom_site_fract_z
Fe1 Fe 0.000 0.000 0.000
Co1 Co 0.500 0.000 0.472
Co2 Co 0.500 0.500 0.145
W1 W 0.000 0.500 0.652
# - Volume: 47.60 Å³ per cell
# - M_tot: 0.28 μB per atom
# - Crystal system: orthorhombic
# - E_form: 89.4 meV/atom

***

Record 11
# PBE FeCo2W, relaxed
data_FeCo2W
_chemical_formula_sum 'Fe1 Co2 W1'
_cell_length_a 4.404
_cell_length_b 4.404
_cell_length_c 2.636
_cell_angle_alpha 90.00
_cell_angle_beta 90.00
_cell_angle_gamma 108.16
_symmetry_space_group_name_H-M 'P 1'
_symmetry_Int_Tables_number 1
_symmetry_space_group_name_Hall 'P 1'
loop_
_atom_site_label
_atom_site_type_symbol
_atom_site_fract_x
_atom_site_fract_y
_atom_site_fract_z
Fe1 Fe 0.000 0.000 0.000
Co1 Co 0.000 0.500 0.500
Co2 Co 0.500 0.000 0.500
W1 W 0.500 0.500 0.000
# - Volume: 48.57 Å³ per cell
# - M_tot: 0.66 μB per atom
# - Crystal system: orthorhombic
# - E_form: 105.2 meV/atom

***

Record 12
# PBE Fe3CoW, relaxed
data_Fe3CoW
_chemical_formula_sum 'Fe3 Co1 W1'
_cell_length_a 4.426
_cell_length_b 4.426
_cell_length_c 4.426
_cell_angle_alpha 90.00
_cell_angle_beta 90.00
_cell_angle_gamma 90.00
_symmetry_space_group_name_H-M 'P 1'
_symmetry_Int_Tables_number 1
_symmetry_space_group_name_Hall 'P 1'
loop_
_atom_site_label
_atom_site_type_symbol
_atom_site_fract_x
_atom_site_fract_y
_atom_site_fract_z
Fe1 Fe 0.000 0.000 0.500
Fe2 Fe 0.000 0.500 0.000
Fe3 Fe 0.500 0.000 0.000
Co1 Co 0.500 0.500 0.500
W1 W 0.000 0.000 0.000
# - Volume: 86.72 Å³ per cell
# - M_tot: 1.25 μB per atom
# - Crystal system: cubic
# - E_form: 1794.1 meV/atom
# - ΔE to the lowest computed polymorph: 510 meV per atom

***

Which formula does entry 11 have? FeCo2W

***

The highest M_tot belongs to which entry? Fe3CoW

***

Please write out number 11 again, unchanged.
# PBE FeCo2W, relaxed
data_FeCo2W
_chemical_formula_sum 'Fe1 Co2 W1'
_cell_length_a 4.404
_cell_length_b 4.404
_cell_length_c 2.636
_cell_angle_alpha 90.00
_cell_angle_beta 90.00
_cell_angle_gamma 108.16
_symmetry_space_group_name_H-M 'P 1'
_symmetry_Int_Tables_number 1
_symmetry_space_group_name_Hall 'P 1'
loop_
_atom_site_label
_atom_site_type_symbol
_atom_site_fract_x
_atom_site_fract_y
_atom_site_fract_z
Fe1 Fe 0.000 0.000 0.000
Co1 Co 0.000 0.500 0.500
Co2 Co 0.500 0.000 0.500
W1 W 0.500 0.500 0.000
# - Volume: 48.57 Å³ per cell
# - M_tot: 0.66 μB per atom
# - Crystal system: orthorhombic
# - E_form: 105.2 meV/atom